Computed, not measured: an optimized crystal structure of Sc3CrW at the PBEsol level of DFT.

The density is 6.36 Mg/m³. The formation energy comes out at 1083 meV/atom.

The space group is Pm-3m (No. 221) and the conventional cell measures 4.592, 4.592 and 4.592 Å, with angles of 90.00, 90.00 and 90.00 degrees. The asymmetric unit holds Sc at (0.000, 0.000, 0.500), Cr at (0.000, 0.000, 0.000) and W at (0.500, 0.500, 0.500).



Computed, not measured: an optimized crystal structure of Y4ScCr at the PBEsol level of DFT.

The density is 4.41 Mg/m³. The formation energy comes out at 678 meV/atom.

The space group is F-43m (No. 216) and the conventional cell measures 8.801, 8.801 and 8.801 Å, with angles of 90.00, 90.00 and 90.00 degrees. The asymmetric unit holds Y at (0.125, 0.125, 0.125), Sc at (0.000, 0.000, 0.500) and Cr at (0.250, 0.250, 0.750).



Computed, not measured: an optimized crystal structure of YScCr3 at the PBEsol level of DFT.

The density is 4.49 Mg/m³. The formation energy comes out at 1762 meV/atom.

The space group is Pm-3m (No. 221) and the conventional cell measures 4.752, 4.752 and 4.752 Å, with angles of 90.00, 90.00 and 90.00 degrees. The asymmetric unit holds Y at (0.000, 0.000, 0.000), Sc at (0.500, 0.500, 0.500) and Cr at (0.000, 0.000, 0.500).



Computed, not measured: an optimized crystal structure of Y2ScCr at the PBEsol level of DFT.

The density is 4.74 Mg/m³. The polymorph energy (0 for the lowest one) comes out at 0.000 eV per atom. The formation energy comes out at 327 meV/atom.

The space group is P4/mmm (No. 123) and the conventional cell measures 4.980, 4.980 and 3.880 Å, with angles of 90.00, 90.00 and 90.00 degrees. The asymmetric unit holds Y at (0.000, 0.500, 0.000), Sc at (0.000, 0.000, 0.500) and Cr at (0.500, 0.500, 0.500).



Computed, not measured: an optimized crystal structure of Y2ScCr at the PBEsol level of DFT.

The density is 4.78 Mg/m³. The polymorph energy (0 for the lowest one) comes out at 0.080 eV per atom. The formation energy comes out at 407 meV/atom.

The space group is F-43m (No. 216) and the conventional cell measures 7.256, 7.256 and 7.256 Å, with angles of 90.00, 90.00 and 90.00 degrees. The asymmetric unit holds Y at (0.000, 0.000, 0.000), Y at (0.250, 0.250, 0.250), Sc at (0.250, 0.250, 0.750) and Cr at (0.000, 0.000, 0.500).



Computed, not measured: an optimized crystal structure of ScZn2Cr at the PBEsol level of DFT.

The density is 6.06 Mg/m³. The polymorph energy (0 for the lowest one) comes out at 0.000 eV per atom. The formation energy comes out at 97 meV/atom.

The space group is P4mm (No. 99) and the conventional cell measures 3.164, 3.164 and 6.236 Å, with angles of 90.00, 90.00 and 90.00 degrees. The asymmetric unit holds Sc at (0.000, 0.000, 0.000), Zn at (0.000, 0.000, 0.519), Zn at (0.500, 0.500, 0.293) and Cr at (0.500, 0.500, 0.740).



Computed, not measured: an optimized crystal structure of ScZn2Cr at the PBEsol level of DFT.

The density is 6.10 Mg/m³. The polymorph energy (0 for the lowest one) comes out at 0.000 eV per atom. The formation energy comes out at 97 meV/atom.

The space group is I-4m2 (No. 119) and the conventional cell measures 3.928, 3.928 and 8.039 Å, with angles of 90.00, 90.00 and 90.00 degrees. The asymmetric unit holds Sc at (0.000, 0.000, 0.000), Zn at (0.000, 0.000, 0.500), Zn at (0.000, 0.500, 0.250) and Cr at (0.000, 0.500, 0.750).



Computed, not measured: an optimized crystal structure of ScZn2Cr at the PBEsol level of DFT.

The density is 5.78 Mg/m³. The polymorph energy (0 for the lowest one) comes out at 0.179 eV per atom. The formation energy comes out at 276 meV/atom.

The space group is R-3m (No. 166, hexagonal axes) and the conventional cell measures 2.9600, 2.9600 and 25.8766 Å, with angles of 90.00, 90.00 and 120.00 degrees. The asymmetric unit holds Sc at (0.0000, 0.0000, 0.0000), Zn at (0.0000, 0.0000, 0.2435) and Cr at (0.0000, 0.0000, 0.5000).



Computed, not measured: an optimized crystal structure of ZrScCr at the PBEsol level of DFT.

The density is 5.56 Mg/m³. The formation energy comes out at 231 meV/atom.

The space group is I4mm (No. 107) and the conventional cell measures 3.230, 3.230 and 10.764 Å, with angles of 90.00, 90.00 and 90.00 degrees. The asymmetric unit holds Zr at (0.000, 0.000, 0.000), Sc at (0.000, 0.000, 0.720) and Cr at (0.000, 0.000, 0.372).



Computed, not measured: an optimized crystal structure of ZrScCr4 at the PBEsol level of DFT.

The density is 6.63 Mg/m³. The formation energy comes out at 42 meV/atom.

The space group is F-43m (No. 216) and the conventional cell measures 7.012, 7.012 and 7.012 Å, with angles of 90.00, 90.00 and 90.00 degrees. The asymmetric unit holds Zr at (0.000, 0.000, 0.000), Sc at (0.250, 0.250, 0.250) and Cr at (0.125, 0.125, 0.625).



Computed, not measured: an optimized crystal structure of Cr2Se3 at the PBEsol level of DFT.

The density is 5.91 Mg/m³. The uncorrected formation energy comes out at -0.395 eV/atom.

The space group is R-3m (No. 166, hexagonal axes) and the conventional cell measures 3.5504, 3.5504 and 26.3346 Å, with angles of 90.00, 90.00 and 120.00 degrees. The asymmetric unit holds Cr at (0.0000, 0.0000, 0.1042), Se at (0.0000, 0.0000, 0.2792) and Se at (0.0000, 0.0000, 0.5000).



Computed, not measured: an optimized crystal structure of Cr3Se at the PBEsol level of DFT.

The density is 7.99 Mg/m³. The uncorrected formation energy comes out at 0.194 eV/atom. The polymorph energy (0 for the lowest one) comes out at 0.000 eV per atom.

The space group is P4/mmm (No. 123) and the conventional cell measures 2.925, 2.925 and 5.705 Å, with angles of 90.00, 90.00 and 90.00 degrees. The asymmetric unit holds Cr at (0.000, 0.000, 0.000), Cr at (0.500, 0.500, 0.241) and Se at (0.000, 0.000, 0.500).



What did we get for DOS(E_F)? Answer: 1.427; 1.274; 0.804; 1.006; 1.565; 0.844; 0.700; 0.961; 1.140; 1.010; 0.235; 1.097 states/eV per atom, in the order shown.
What did we get for raw total energy? Answer: -7.690; -6.678; -7.068; -7.296; -7.216; -4.906; -4.906; -4.727; -8.415; -9.402; -6.802; -8.450 eV per atom, in the order shown.